DFT (PBE) results for crystalline La2MgCuC at its relaxed geometry.

M_tot = 0.00 μB/f.u.
DOS(E_F) = 6.4 states/eV/cell
space group = P4/mmm, No. 123
relative energy among the computed polymorphs = 0 meV/atom
ΔH_f (0 K) = 36 meV/atom

```
La2MgCuC
1.0
-1.646 -2.589 4.472
-4.203 -2.061 -2.740
2.150 -3.072 -0.987
Cu C Mg La
1 1 1 2
direct
0.000 0.000 0.500
0.000 0.000 0.000
0.500 0.500 0.500
0.500 0.000 0.000
0.000 0.500 0.000
```